InW: PBEsol geometry, SCAN.

Values from the calculation:
As for the space-group type: R-3m, No. 166. The calculation puts the formation energy at 0.64 eV per atom. The total energy is -203.58 eV for the cell shown. For the energy above the lowest structure with this stoichiometry, the calculation gives 181 meV/atom.

Unit cell a=10.071 b=10.071 c=10.071 alpha=16.82 beta=16.82 gamma=16.82
Element x y z (fractional)
In  0.118  0.118  0.118
In  0.882  0.882  0.882
W  0.370  0.370  0.370
W  0.630  0.630  0.630